Density functional theory data (GGA-PBE) for GdHfAsO after structural relaxation.

distance to the lowest polymorph of the same formula: 0.5018 eV/atom
SG: P4/nmm (129)
E: -7.476 eV/atom
calculated volume: 17.63 Å³ per atom

abc: 4.0720 4.0720 8.5056
angles: 90.00 90.00 90.00
Closest atoms and distances in Å follow each position.
Positions (direct):
Gd  0.2500  0.7500  0.0000  4 Gd 2.88, 4 As 2.91
Gd  0.7500  0.2500  0.0000  4 Gd 2.88, 4 As 2.91
Hf  0.2500  0.2500  0.3929  4 O 2.23
Hf  0.7500  0.7500  0.6071  4 O 2.23
As  0.2500  0.2500  0.7551  4 Gd 2.91, 4 O 2.98, 5 Hf 3.08-3.14
As  0.7500  0.7500  0.2449  4 Gd 2.91, 4 O 2.98, 5 Hf 3.08-3.14
O  0.2500  0.7500  0.5000  4 Hf 2.23
O  0.7500  0.2500  0.5000  4 Hf 2.23